The following is a GGA-PBE calculation of a relaxed ErIF crystal, from the Alexandria database.

Cell and atoms, written as POSCAR:
```
ErIF
1.0
-0.0883 -0.8306 -5.2507
3.9320 0.1609 -0.0916
-1.8159 -3.4447 0.5755
Er F I
1 1 1
Cartesian
2.0058 -1.1369 -0.4757
-0.0168 -0.1577 -0.9968
0.0387 -2.8198 -3.2943
```

Summary:
For the final energy, the calculation gives -14.126 eV/cell. The calculation puts the uncorrected formation energy at -2.05 eV/atom. For the magnetic moment, the calculation gives 0.92 μB/f.u.